[1]
Crystalline Li5Pa3Br12 at its relaxed geometry. Source: Alexandria via LeMat-Bulk, functional GGA-PBE.

The structure in POSCAR format:
```
Li5Pa3Br12
1.0
14.1512 0.0000 0.0000
-4.7171 13.3419 0.0000
-4.7171 -6.6710 11.5544
Br Li Pa
48 20 12
direct
0.9088 0.0899 0.6237
0.3763 0.4101 0.0912
0.1237 0.7148 0.5338
0.0912 0.9101 0.3763
0.7148 0.1237 0.0338
0.6811 0.4662 0.5899
0.1811 0.0912 0.7148
0.8189 0.9101 0.0338
0.3189 0.7852 0.4088
0.2852 0.4088 0.8189
0.5899 0.9662 0.6811
0.3189 0.5338 0.4101
0.3763 0.9662 0.7852
0.0912 0.1811 0.2148
0.6237 0.5899 0.9088
0.1237 0.4088 0.0899
0.4101 0.3763 0.5912
0.2852 0.8763 0.9662
0.9662 0.3763 0.2852
0.0338 0.4101 0.8189
0.5899 0.6237 0.4088
0.7852 0.3189 0.9088
0.9662 0.5899 0.1811
0.9101 0.8189 0.5338
0.0899 0.1811 0.4662
0.5912 0.8763 0.4101
0.5912 0.7148 0.6811
0.4101 0.0338 0.3189
0.5338 0.3189 0.9101
0.4088 0.2852 0.3189
0.6811 0.2148 0.5912
0.8763 0.5912 0.9101
0.7148 0.5912 0.1811
0.2148 0.6811 0.0912
0.4088 0.1237 0.5899
0.6237 0.0338 0.2148
0.8189 0.9088 0.2852
0.0899 0.9088 0.1237
0.2148 0.5338 0.6237
0.4662 0.7852 0.8763
0.8763 0.2852 0.4662
0.0338 0.6237 0.7148
0.7852 0.4662 0.3763
0.9088 0.8189 0.7852
0.4662 0.6811 0.0899
0.1811 0.0899 0.9662
0.9101 0.0912 0.8763
0.5338 0.2148 0.1237
0.3750 0.2500 0.1250
0.5000 0.5000 0.5000
0.6250 0.8750 0.2500
0.8750 0.6250 0.7500
0.0000 0.5000 0.0000
0.5000 0.0000 0.0000
0.3750 0.1250 0.7500
0.1250 0.3750 0.2500
0.1250 0.7500 0.3750
0.0000 0.0000 0.0000
0.5000 0.5000 0.0000
0.7500 0.6250 0.3750
0.0000 0.5000 0.5000
0.2500 0.8750 0.1250
0.5000 0.0000 0.5000
0.7500 0.1250 0.8750
0.0000 0.0000 0.5000
0.6250 0.7500 0.8750
0.2500 0.3750 0.6250
0.8750 0.2500 0.6250
0.6250 0.3750 0.7500
0.7500 0.3750 0.1250
0.2500 0.6250 0.8750
0.2500 0.1250 0.3750
0.1250 0.2500 0.8750
0.7500 0.8750 0.6250
0.6250 0.2500 0.3750
0.8750 0.7500 0.1250
0.8750 0.1250 0.2500
0.1250 0.8750 0.7500
0.3750 0.6250 0.2500
0.3750 0.7500 0.6250
```

Space-group type   No. 230
E_form (uncorrected)   -1.18 eV per atom
Uncorrected energy   -4.08 eV per atom
M_tot   8.0 μB/f.u.
Volume   27.3 A^3/atom

[2]
Crystalline TbSeS at its relaxed geometry. Source: Alexandria via LeMat-Bulk, functional GGA-PBE.

The structure in POSCAR format:
```
TbSeS
1.0
-1.8751 -3.5149 -0.2725
3.4137 -1.7331 -1.1339
3.5878 -3.1214 15.5729
Tb S Se
4 4 4
direct
0.7510 0.2500 0.3566
0.7490 0.2500 0.8566
0.2510 0.7500 0.1434
0.2490 0.7500 0.6434
0.2511 0.7500 0.3158
0.7511 0.2500 0.1842
0.2489 0.7500 0.8158
0.7489 0.2500 0.6842
0.2500 0.2500 0.5000
0.7500 0.7500 0.0000
0.2500 0.2500 0.0000
0.7500 0.7500 0.5000
```

Space-group type   No. 62
E_form (uncorrected)   -1.66 eV per atom
Uncorrected energy   -5.74 eV per atom
M_tot   0.0 μB/f.u.
Volume   21.6 A^3/atom

[3]
Crystalline K2CrIn at its relaxed geometry. Source: Alexandria via LeMat-Bulk, functional GGA-PBE.

The structure in POSCAR format:
```
K2CrIn
1.0
3.8589 0.0000 0.0000
0.0000 3.9150 0.0000
0.0000 0.0000 10.2719
K In Cr
2 1 1
direct
0.5000 0.5000 0.3205
0.0000 0.0000 0.9263
0.5000 0.5000 0.6660
0.0000 0.0000 0.5872
```

Space-group type   No. 25
ΔH_f (0 K)   0.398 eV/atom
Uncorrected energy   -3.24 eV per atom
M_tot   4.3 μB/f.u.
Volume   38.8 A^3/atom

[4]
Crystalline LiLa5Cd6 at its relaxed geometry. Source: Alexandria via LeMat-Bulk, functional GGA-PBE.

The structure in POSCAR format:
```
LiLa5Cd6
1.0
-3.5048 -4.1110 -0.5763
5.3337 -4.9358 2.7723
-3.6661 5.8068 6.4810
La Cd Li
5 6 1
direct
0.3237 0.8237 0.6475
0.3352 0.3352 0.6705
0.0000 0.5000 0.0000
0.6763 0.1763 0.3525
0.6648 0.6648 0.3295
0.1526 0.3784 0.3052
0.8474 0.6216 0.6948
0.5000 0.2179 0.0000
0.1526 0.9268 0.3052
0.5000 0.7821 0.0000
0.8474 0.0732 0.6948
0.0000 0.0000 0.0000
```

Space-group type   No. 71
ΔH_f (0 K)   -0.296 eV/atom
Uncorrected energy   -2.97 eV per atom
M_tot   1.0 μB/f.u.
Volume   28.8 A^3/atom